Cs4InBr6, optimized geometry, DFT PBE-GGA; E_form (uncorrected) = -1.47 eV per atom; volume = 45.1 A^3/atom; E_tot = -2.947 eV per atom
1.0
-1.0261 6.2928 7.5341
-9.7619 0.1430 -1.4489
-1.0666 -7.8506 6.4119
Cs Br In
8 12 2
Direct
0.6686 0.8314 0.2500
0.1686 0.6686 0.2500
0.1686 0.6686 0.7500
0.8314 0.3314 0.2500
0.6686 0.8314 0.7500
0.3314 0.1686 0.7500
0.3314 0.1686 0.2500
0.8314 0.3314 0.7500
0.4049 0.7947 0.0000
0.0000 0.0000 0.2151
0.9049 0.7053 0.5000
0.0000 0.0000 0.7849
0.5951 0.2053 0.0000
0.0951 0.2947 0.5000
0.2947 0.9049 0.5000
0.5000 0.5000 0.2849
0.7947 0.5951 0.0000
0.2053 0.4049 0.0000
0.7053 0.0951 0.5000
0.5000 0.5000 0.7151
0.5000 0.5000 0.0000
0.0000 0.0000 0.5000